Here is an optimized crystal structure of ReWO2 from Alexandria via LeMat-Bulk. Energies are from GGA+U.

abc: 7.1764 7.1764 7.1764
angles: 22.10 22.10 22.10
Fractional positions:
Re  0.0000  0.0000  0.0000
W  0.5000  0.5000  0.5000
O  0.0965  0.0965  0.0965
O  0.9035  0.9035  0.9035

- V (A^3/atom) = 11.47
- E above lowest polymorph (eV per atom) = 0.0000
- symmetry = R-3m (166)